# BaSrLiSi, relaxed, DFT GGA-PBE
# **Energy relative to the lowest polymorph listed for this composition**: 0.0000 eV/atom
# **Total moment**: 0.777 μB/f.u.
# **Formation energy without anion corrections**: -0.246 eV/atom
# **Density**: 2.9 Mg/m³
# **Electronic total energy**: -2.981 eV per atom
data_BaSrLiSi
_chemical_formula_sum 'Ba3 Sr3 Li3 Si3'
_symmetry_space_group_name_H-M 'R 3 m'
_symmetry_Int_Tables_number 160
_symmetry_space_group_name_Hall 'R 3 -2"'
_cell_length_a 4.6669
_cell_length_b 4.6669
_cell_length_c 24.0738
_cell_angle_alpha 90.00
_cell_angle_beta 90.00
_cell_angle_gamma 120.00
loop_
_atom_site_label
_atom_site_type_symbol
_atom_site_fract_x
_atom_site_fract_y
_atom_site_fract_z
_atom_site_occupancy
Ba1 Ba 0.0000 0.0000 0.0000 1
Sr1 Sr 0.0000 0.0000 0.8361 1
Li1 Li 0.0000 0.0000 0.5787 1
Si1 Si 0.0000 0.0000 0.2466 1

=====

# LaZr3Cd, relaxed, DFT GGA-PBE
# **Energy relative to the lowest polymorph listed for this composition**: 0.2941 eV/atom
# **Total moment**: 0.000 μB/f.u.
# **Density**: 6.4 Mg/m³
# **Electronic total energy**: -5.156 eV per atom
data_LaZr3Cd
_chemical_formula_sum 'La1 Zr3 Cd1'
_symmetry_space_group_name_H-M 'P m -3 m'
_symmetry_Int_Tables_number 221
_symmetry_space_group_name_Hall '-P 4 2 3'
_cell_length_a 5.150
_cell_length_b 5.150
_cell_length_c 5.150
_cell_angle_alpha 90.00
_cell_angle_beta 90.00
_cell_angle_gamma 90.00
loop_
_atom_site_label
_atom_site_type_symbol
_atom_site_fract_x
_atom_site_fract_y
_atom_site_fract_z
_atom_site_occupancy
La1 La 0.000 0.000 0.000 1
Zr1 Zr 0.000 0.000 0.500 1
Cd1 Cd 0.500 0.500 0.500 1